Here is a geometry-optimized CaBi2Pd2 structure from the Alexandria database. Energies are from GGA-PBE.

Cell and atoms, written as extended XYZ:
```
10
Lattice="-7.915 0.532 -2.474 0.468 -7.677 -3.146 -1.030 -1.299 3.016" Properties=species:S:1:pos:R:3 pbc="T T T"
Pd -7.115 -2.919 -1.723
Pd -5.221 -6.869 -2.777
Ca -3.724 -3.572 -2.810
Bi -1.009 -2.622 -1.473
Bi -5.061 -0.793 -2.070
Ca 0.000 0.000 0.000
Pd -3.256 -1.575 0.174
Bi -6.438 -4.523 -4.146
Pd -1.362 -5.525 -0.880
Bi -2.386 -6.352 -3.550
```

electronic total energy = -4.40 eV/atom
space group = P4/mbm (127)
ΔE_f = -367 meV/atom
M_tot = 0.000 Bohr magnetons per cell

=====

Here is a geometry-optimized Li4Y3AlSe8 structure from the Alexandria database. Energies are from GGA-PBE.

Cell and atoms, written as extended XYZ:
```
16
Lattice="-5.198 -0.342 -6.058 -5.201 -3.787 4.677 3.048 7.033 2.257" Properties=species:S:1:pos:R:3 pbc="T T T"
Y -3.676 1.452 0.438
Li 1.524 3.516 1.128
Se -7.854 -3.030 -1.172
Al -2.601 -1.894 2.338
Se -5.079 -2.847 2.063
Se -3.692 2.469 -2.240
Li -2.599 -0.171 -3.029
Se -6.304 0.424 0.116
Y -5.200 -2.065 -0.691
Se 0.502 5.933 2.047
Se -1.048 2.479 0.760
Li -1.075 3.345 -1.901
Y -1.077 1.623 3.467
Se -3.660 0.434 3.116
Li 0.000 0.000 0.000
Se -2.273 5.750 -1.188
```

raw formation energy = -1.50 eV/atom
electronic total energy = -5.16 eV/atom
space group = R-3m (166)
M_tot = 0.000 Bohr magnetons per cell

=====

Here is a geometry-optimized V2OsRh structure from the Alexandria database. Energies are from GGA-PBE.

Cell and atoms, written as extended XYZ:
```
8
Lattice="4.396 -0.361 0.097 -0.210 4.782 2.196 -0.674 -0.041 5.223" Properties=species:S:1:pos:R:3 pbc="T T T"
Os 0.416 2.954 4.772
V 0.797 0.571 3.683
V 2.487 1.437 5.321
Rh 2.694 3.795 6.460
V 1.025 2.943 2.194
Rh 0.818 0.584 1.056
V 2.715 3.808 3.833
Os 3.096 1.425 2.744
```

electronic total energy = -9.50 eV/atom
space group = C2/m (12)
ΔE_f = -291 meV/atom
M_tot = 2.037 Bohr magnetons per cell

=====

Here is a geometry-optimized Ag3Pb structure from the Alexandria database. Energies are from GGA-PBE.

Cell and atoms, written as extended XYZ:
```
4
Lattice="-2.554 1.020 1.583 1.924 -2.156 1.312 5.334 7.181 3.976" Properties=species:S:1:pos:R:3 pbc="T T T"
Ag 2.555 3.440 1.905
Ag 0.272 1.757 2.487
Pb 2.939 5.348 4.475
Ag 0.112 0.151 0.083
```

electronic total energy = -2.93 eV/atom
space group = P-6m2 (187)
ΔE_f = 138 meV/atom
M_tot = 0.000 Bohr magnetons per cell